Entry 1:
Below is a relaxed LiMn2TlCl6 crystal, with properties calculated at the PBE level.

Cell and atoms, written as POSCAR:
```
LiMn2TlCl6
1.0
6.699 -6.665 0.000
6.699 6.665 0.000
-2.812 0.000 7.068
Li Mn Tl Cl
2 4 2 12
Cartesian
4.589 3.943 5.301
5.995 -3.943 1.767
3.282 1.019 2.249
1.876 -1.019 5.783
8.709 1.019 1.285
7.303 -1.019 4.819
5.995 5.024 1.767
4.589 -5.024 5.301
1.090 1.102 1.360
3.943 3.043 3.203
-0.316 -1.102 4.894
4.717 0.747 0.320
8.048 3.043 0.331
3.311 -0.747 3.854
7.274 0.747 3.215
2.537 -3.043 6.737
5.867 -0.747 6.749
10.900 1.102 2.174
6.642 -3.043 3.865
9.494 -1.102 5.708
```

Results
Symmetry: No. 15



Entry 2:
Below is a relaxed Li2MnTl2Cl6 crystal, with properties calculated at the PBE level.

Cell and atoms, written as POSCAR:
```
Li2MnTl2Cl6
1.0
3.689 2.130 6.487
-3.689 2.130 6.487
0.000 -4.259 6.487
Li Mn Tl Cl
2 1 2 6
Cartesian
0.000 0.000 1.834
0.000 0.000 17.627
0.000 0.000 9.731
0.000 0.000 5.734
0.000 0.000 13.727
0.000 -1.995 8.152
-1.728 0.998 8.152
-1.728 -0.998 11.310
1.728 0.998 8.152
1.728 -0.998 11.310
0.000 1.995 11.310
```

Results
Symmetry: No. 166



Entry 3:
Below is a relaxed LiMnTlCl6 crystal, with properties calculated at the PBE level.

Cell and atoms, written as POSCAR:
```
LiMnTlCl6
1.0
6.412 0.000 0.000
-3.206 5.553 0.000
0.000 0.000 6.898
Li Mn Tl Cl
1 1 1 6
Cartesian
0.000 0.000 0.000
0.000 3.702 0.000
3.206 1.851 3.449
-0.828 2.025 1.329
-1.867 3.824 5.569
0.828 2.025 5.569
-1.039 5.258 1.329
1.867 3.824 1.329
1.039 5.258 5.569
```

Results
Symmetry: No. 149



Entry 4:
Below is a relaxed LiMnTl2Cl5 crystal, with properties calculated at the PBE level.

Cell and atoms, written as POSCAR:
```
LiMnTl2Cl5
1.0
1.986 -9.138 0.000
1.986 9.138 0.000
0.000 0.000 13.509
Li Mn Tl Cl
2 2 4 10
Cartesian
1.986 7.910 6.755
1.986 -7.910 0.000
1.986 3.846 1.038
1.986 -3.846 7.793
1.986 2.373 4.915
1.986 1.893 9.864
1.986 -1.893 3.110
1.986 -2.373 11.669
1.986 9.094 4.753
1.986 6.291 0.735
1.986 5.590 6.076
1.986 5.134 9.472
1.986 1.308 1.301
1.986 -1.308 8.055
1.986 -5.134 2.717
1.986 -5.590 12.831
1.986 -6.291 7.490
1.986 -9.094 11.507
```

Results
Symmetry: No. 36



Entry 5:
Below is a relaxed LiMn2Tl3Cl9 crystal, with properties calculated at the PBE level.

Cell and atoms, written as POSCAR:
```
LiMn2Tl3Cl9
1.0
7.038 0.000 0.000
-3.519 6.095 0.000
0.000 0.000 8.658
Li Mn Tl Cl
1 2 3 9
Cartesian
0.000 0.000 0.000
0.000 4.063 5.810
3.519 2.032 2.848
0.000 0.000 4.329
0.000 4.063 1.300
3.519 2.032 7.358
-1.759 3.047 4.329
0.000 2.072 7.143
-1.724 5.059 7.143
1.794 1.036 1.515
3.519 0.000 4.329
1.759 3.047 4.329
1.724 5.059 7.143
5.243 1.036 1.515
3.519 4.023 1.515
```

Results
Symmetry: No. 164



Entry 6:
Below is a relaxed Li2MoCl crystal, with properties calculated at the PBE level.

Cell and atoms, written as POSCAR:
```
Li2MoCl
1.0
1.516 -2.517 0.000
1.516 2.517 0.000
0.000 0.000 8.908
Li Mo Cl
2 1 1
Cartesian
0.000 0.000 0.000
1.516 0.000 2.624
0.000 0.000 5.003
1.516 0.000 7.103
```

Results
Relative energy among the computed polymorphs (meV/atom): 348.6
Symmetry: No. 35



Entry 7:
Below is a relaxed Li2MoCl crystal, with properties calculated at the PBE level.

Cell and atoms, written as POSCAR:
```
Li2MoCl
1.0
-1.848 1.848 4.863
1.848 -1.848 4.863
1.848 1.848 -4.863
Li Mo Cl
2 1 1
Cartesian
0.000 0.000 0.000
0.000 1.848 2.432
1.848 0.000 2.432
0.000 0.000 4.863
```

Results
Relative energy among the computed polymorphs (meV/atom): 668.6
Symmetry: No. 119



Entry 8:
Below is a relaxed LiMoCl2 crystal, with properties calculated at the PBE level.

Cell and atoms, written as POSCAR:
```
LiMoCl2
1.0
3.153 0.000 0.000
0.000 3.153 0.000
0.000 0.000 7.494
Li Mo Cl
1 1 2
Cartesian
0.000 0.000 0.000
1.577 1.577 1.999
0.000 0.000 3.296
1.577 1.577 6.917
```

Results
Relative energy among the computed polymorphs (meV/atom): 165.9
Symmetry: No. 99



Entry 9:
Below is a relaxed LiMoCl2 crystal, with properties calculated at the PBE level.

Cell and atoms, written as POSCAR:
```
LiMoCl2
1.0
3.356 0.000 0.000
0.000 4.848 0.000
-0.022 0.000 4.887
Li Mo Cl
1 1 2
Cartesian
0.000 0.000 0.000
2.085 2.424 1.691
1.669 0.000 1.683
2.535 2.424 4.123
```

Results
Relative energy among the computed polymorphs (meV/atom): 260.7
Symmetry: No. 6



Entry 10:
Below is a relaxed LiMoCl2 crystal, with properties calculated at the PBE level.

Cell and atoms, written as POSCAR:
```
LiMoCl2
1.0
1.614 0.932 7.292
-1.614 0.932 7.292
0.000 -1.864 7.292
Li Mo Cl
1 1 2
Cartesian
0.000 0.000 0.000
0.000 0.000 10.937
0.000 0.000 5.678
0.000 0.000 16.197
```

Results
Relative energy among the computed polymorphs (meV/atom): 242.9
Symmetry: No. 166



Entry 11:
Below is a relaxed LiMoCl2 crystal, with properties calculated at the PBE level.

Cell and atoms, written as POSCAR:
```
LiMoCl2
1.0
1.553 -2.935 0.000
1.553 2.935 0.000
0.000 0.000 7.547
Li Mo Cl
1 1 2
Cartesian
0.000 0.000 0.000
0.000 0.000 3.773
1.553 0.000 1.772
1.553 0.000 5.775
```

Results
Relative energy among the computed polymorphs (meV/atom): 208.9
Symmetry: No. 65



Entry 12:
Below is a relaxed Li2MoCl crystal, with properties calculated at the PBE level.

Cell and atoms, written as POSCAR:
```
Li2MoCl
1.0
0.000 3.491 3.491
3.491 0.000 3.491
3.491 3.491 0.000
Li Mo Cl
2 1 1
Cartesian
1.746 1.746 1.746
5.237 5.237 5.237
0.000 0.000 0.000
3.491 3.491 3.491
```

Results
Relative energy among the computed polymorphs (meV/atom): 921.8
Symmetry: No. 225



Entry 13:
Below is a relaxed LiMoCl2 crystal, with properties calculated at the PBE level.

Cell and atoms, written as POSCAR:
```
LiMoCl2
1.0
3.582 -3.582 0.000
3.582 3.582 0.000
-0.105 0.000 3.404
Li Mo Cl
1 1 2
Cartesian
0.000 0.000 0.000
3.582 0.000 0.000
1.791 1.791 0.000
1.791 -1.791 0.000
```

Results
Relative energy among the computed polymorphs (meV/atom): 313.5
Symmetry: No. 12



Entry 14:
Below is a relaxed LiMoCl3 crystal, with properties calculated at the PBE level.

Cell and atoms, written as POSCAR:
```
LiMoCl3
1.0
5.114 0.000 0.000
0.000 5.114 0.000
0.000 0.000 5.114
Li Mo Cl
1 1 3
Cartesian
0.000 0.000 0.000
2.557 2.557 2.557
0.000 2.557 2.557
2.557 0.000 2.557
2.557 2.557 0.000
```

Results
Relative energy among the computed polymorphs (meV/atom): 0.0
Symmetry: No. 221



Entry 15:
Below is a relaxed LiMoCl2 crystal, with properties calculated at the PBE level.

Cell and atoms, written as POSCAR:
```
LiMoCl2
1.0
0.000 3.132 3.132
3.132 0.000 3.132
3.132 3.132 0.000
Li Mo Cl
1 1 2
Cartesian
0.000 0.000 0.000
3.132 3.132 3.132
1.566 1.566 1.566
4.698 4.698 4.698
```

Results
Relative energy among the computed polymorphs (meV/atom): 518.0
Symmetry: No. 225



Entry 16:
Below is a relaxed Li2MoCl crystal, with properties calculated at the PBE level.

Cell and atoms, written as POSCAR:
```
Li2MoCl
1.0
-1.428 1.444 8.325
1.428 -1.444 8.325
1.428 1.444 -8.325
Li Mo Cl
2 1 1
Cartesian
0.000 0.000 0.000
0.000 1.444 2.786
1.428 0.000 4.832
0.000 0.000 7.095
```

Results
Relative energy among the computed polymorphs (meV/atom): 283.6
Symmetry: No. 44



Entry 17:
Below is a relaxed Li3MoCl crystal, with properties calculated at the PBE level.

Cell and atoms, written as POSCAR:
```
Li3MoCl
1.0
5.288 0.000 0.000
0.000 5.288 0.000
0.000 0.000 5.288
Li Mo Cl
3 1 1
Cartesian
0.000 0.000 2.644
0.000 2.644 0.000
2.644 0.000 0.000
0.000 0.000 0.000
2.644 2.644 2.644
```

Results
Relative energy among the computed polymorphs (meV/atom): 601.8
Symmetry: No. 221



Entry 18:
Below is a relaxed Li4MoCl crystal, with properties calculated at the PBE level.

Cell and atoms, written as POSCAR:
```
Li4MoCl
1.0
0.000 3.859 3.859
3.859 0.000 3.859
3.859 3.859 0.000
Li Mo Cl
4 1 1
Cartesian
0.951 0.951 0.951
2.908 2.908 0.951
2.908 0.951 2.908
0.951 2.908 2.908
5.788 5.788 5.788
3.859 3.859 3.859
```

Results
Symmetry: No. 216



Entry 19:
Below is a relaxed Li2MoCl crystal, with properties calculated at the PBE level.

Cell and atoms, written as POSCAR:
```
Li2MoCl
1.0
1.610 -2.363 0.000
1.610 2.363 0.000
0.000 0.000 8.308
Li Mo Cl
2 1 1
Cartesian
0.000 0.000 1.652
0.000 0.000 6.656
1.610 0.000 4.154
1.610 0.000 0.000
```

Results
Relative energy among the computed polymorphs (meV/atom): 17.0
Symmetry: No. 65



Entry 20:
Below is a relaxed Li2MoCl crystal, with properties calculated at the PBE level.

Cell and atoms, written as POSCAR:
```
Li2MoCl
1.0
0.000 3.406 3.406
3.406 0.000 3.406
3.406 3.406 0.000
Li Mo Cl
2 1 1
Cartesian
0.000 0.000 0.000
1.703 1.703 1.703
5.109 5.109 5.109
3.406 3.406 3.406
```

Results
Relative energy among the computed polymorphs (meV/atom): 865.0
Symmetry: No. 216



Computed ρ (g/cm³) in order:
2.81; 3.75; 3.24; 4.39; 4.69; 3.55; 3.63; 3.87; 3.63; 4.39; 4.19; 2.83; 3.30; 2.60; 4.70; 3.51; 1.71; 2.30; 3.81; 3.05
Computed ΔE_f (raw) (eV per atom) in order:
-1.201; -1.269; -1.105; -1.216; -1.130; 0.109; 0.429; -0.377; -0.282; -0.300; -0.334; 0.682; -0.229; -0.600; -0.025; 0.044; 0.878; 0.470; -0.223; 0.625